# NiBAs2Se (PBE-GGA, relaxed)
data_NiBAs2Se
_chemical_formula_sum 'Ni1 B1 As2 Se1'
_space_group_name_H-M_alt 'P 4/m m m'
_space_group_IT_number 123
_space_group_name_Hall '-P 4 2'
_cell_length_a 4.4927
_cell_length_b 4.4927
_cell_length_c 4.9809
_cell_angle_alpha 90.00
_cell_angle_beta 90.00
_cell_angle_gamma 90.00
loop_
_atom_site_label
_atom_site_fract_x
_atom_site_fract_y
_atom_site_fract_z
Ni1 0.0000 0.0000 0.0000
B1 0.5000 0.5000 0.5000
As1 0.0000 0.5000 0.0000
Se1 0.0000 0.0000 0.5000
# calculated volume: 100.54 Å³ per cell
# density of states at the Fermi level: 0.590 states/eV per atom
# E_form (uncorrected): 575 kJ/mol of formula units
# energy: -3.86 eV per atom
# polymorph energy (0 for the lowest one): 289 meV/atom

---

# SiAs2Au (PBE-GGA, relaxed)
data_SiAs2Au
_chemical_formula_sum 'Si1 As2 Au1'
_space_group_name_H-M_alt 'P 4/m m m'
_space_group_IT_number 123
_space_group_name_Hall '-P 4 2'
_cell_length_a 3.7504
_cell_length_b 3.7504
_cell_length_c 5.4188
_cell_angle_alpha 90.00
_cell_angle_beta 90.00
_cell_angle_gamma 90.00
loop_
_atom_site_label
_atom_site_fract_x
_atom_site_fract_y
_atom_site_fract_z
Si1 0.0000 0.0000 0.0000
As1 0.0000 0.0000 0.5000
As2 0.5000 0.5000 0.5000
Au1 0.5000 0.5000 0.0000
# calculated volume: 76.22 Å³ per cell
# density of states at the Fermi level: 0.575 states/eV per atom
# E_form (uncorrected): 57 kJ/mol of formula units
# energy: -4.35 eV per atom

---

# MgTiRuRh2 (PBE-GGA, relaxed)
data_MgTiRuRh2
_chemical_formula_sum 'Mg1 Ti1 Ru1 Rh2'
_space_group_name_H-M_alt 'P 4/m m m'
_space_group_IT_number 123
_space_group_name_Hall '-P 4 2'
_cell_length_a 4.6850
_cell_length_b 4.6850
_cell_length_c 4.6136
_cell_angle_alpha 90.00
_cell_angle_beta 90.00
_cell_angle_gamma 90.00
loop_
_atom_site_label
_atom_site_fract_x
_atom_site_fract_y
_atom_site_fract_z
Mg1 0.0000 0.0000 0.0000
Ti1 0.5000 0.5000 0.0000
Ru1 0.0000 0.0000 0.5000
Rh1 0.0000 0.5000 0.5000
# formation enthalpy at 0 K: 976 meV/atom
# calculated volume: 101.26 Å³ per cell
# density of states at the Fermi level: 1.862 states/eV per atom
# energy: -5.72 eV per atom

---

# K3Tl8In (PBE-GGA, relaxed)
data_K3Tl8In
_chemical_formula_sum 'K9 Tl24 In3'
_space_group_name_H-M_alt 'R 3 m'
_space_group_IT_number 160
_space_group_name_Hall 'R 3 -2"'
_cell_length_a 6.6631
_cell_length_b 6.6631
_cell_length_c 32.2683
_cell_angle_alpha 90.00
_cell_angle_beta 90.00
_cell_angle_gamma 120.00
loop_
_atom_site_label
_atom_site_fract_x
_atom_site_fract_y
_atom_site_fract_z
K1 0.0000 0.0000 0.0000
K2 0.0000 0.0000 0.1255
K3 0.0000 0.0000 0.5066
Tl1 0.0000 0.0000 0.3145
Tl2 0.0000 0.0000 0.8130
Tl3 0.0002 0.5001 0.5657
Tl4 0.1674 0.3347 0.3960
In1 0.0000 0.0000 0.6321
# formation enthalpy at 0 K: -48 meV/atom
# calculated volume: 1240.68 Å³ per cell
# density of states at the Fermi level: 0.539 states/eV per atom
# energy: -2.13 eV per atom

---

# Cs6BrCl (PBE-GGA, relaxed)
data_Cs6BrCl
_chemical_formula_sum 'Cs12 Br2 Cl2'
_space_group_name_H-M_alt 'C 1 2/m 1'
_space_group_IT_number 12
_cell_length_a 9.0237
_cell_length_b 16.6354
_cell_length_c 9.0183
_cell_angle_alpha 90.00
_cell_angle_beta 108.33
_cell_angle_gamma 90.00
loop_
_space_group_symop_operation_xyz
'x,y,z'
'-x,-y,-z'
'-x,y,-z'
'x,-y,z'
'x+1/2,y+1/2,z'
'-x+1/2,-y+1/2,-z'
'-x+1/2,y+1/2,-z'
'x+1/2,-y+1/2,z'
loop_
_atom_site_label
_atom_site_fract_x
_atom_site_fract_y
_atom_site_fract_z
Cs1 0.2419 0.1513 0.2449
Cs2 0.2465 0.0000 0.7555
Br1 0.0000 0.5000 0.5000
Cl1 0.0000 0.0000 0.0000
# calculated volume: 1285.08 Å³ per cell
# density of states at the Fermi level: 0.647 states/eV per atom
# E_form (uncorrected): -685 kJ/mol of formula units
# energy: -1.97 eV per atom

---

# NiAg2Rh (PBE-GGA, relaxed)
data_NiAg2Rh
_chemical_formula_sum 'Ni3 Ag6 Rh3'
_space_group_name_H-M_alt 'R -3 m'
_space_group_IT_number 166
_space_group_name_Hall '-R 3 2"'
_cell_length_a 2.7751
_cell_length_b 2.7751
_cell_length_c 27.4790
_cell_angle_alpha 90.00
_cell_angle_beta 90.00
_cell_angle_gamma 120.00
loop_
_atom_site_label
_atom_site_fract_x
_atom_site_fract_y
_atom_site_fract_z
Ni1 0.0000 0.0000 0.0000
Ag1 0.0000 0.0000 0.2535
Rh1 0.0000 0.0000 0.5000
# formation enthalpy at 0 K: 277 meV/atom
# calculated volume: 183.27 Å³ per cell
# density of states at the Fermi level: 1.452 states/eV per atom
# energy: -4.43 eV per atom
# polymorph energy (0 for the lowest one): 128 meV/atom

---

What is the calculated volume in the fourth record?
1240.68 Å³ per cell